DFT (GGA-PBE) results for crystalline Lu2MgPb at its relaxed geometry.

a = 5.3532 Å, b = 5.3532 Å, c = 5.3532 Å
α = 60.00°, β = 60.00°, γ = 60.00°
Fractional positions:
Lu  0.0000  0.0000  0.0000
Lu  0.2500  0.2500  0.2500
Mg  0.7500  0.7500  0.7500
Pb  0.5000  0.5000  0.5000

Computed properties:
The electronic total energy comes out at -3.50 eV/atom. As for the magnetic moment: 0.01 μB per formula unit.

DFT (GGA-PBE) results for crystalline ScTaB2 at its relaxed geometry.

a = 4.1466 Å, b = 4.1466 Å, c = 4.1466 Å
α = 60.00°, β = 60.00°, γ = 60.00°
Fractional positions:
Sc  0.0000  0.0000  0.0000
Ta  0.7500  0.7500  0.7500
B  0.2500  0.2500  0.2500
B  0.5000  0.5000  0.5000

Computed properties:
The electronic total energy comes out at -6.58 eV/atom. As for the magnetic moment: 0.00 μB per formula unit.

DFT (GGA-PBE) results for crystalline Sm2PbSe3 at its relaxed geometry.

a = 4.2273 Å, b = 4.2273 Å, c = 10.5341 Å
α = 90.00°, β = 90.00°, γ = 120.00°
Fractional positions:
Sm  0.3333  0.6667  0.1471
Sm  0.6667  0.3333  0.8529
Pb  0.0000  0.0000  0.5000
Se  0.0000  0.0000  0.0000
Se  0.3333  0.6667  0.6791
Se  0.6667  0.3333  0.3209

Computed properties:
The electronic total energy comes out at -5.29 eV/atom. As for the magnetic moment: 0.00 μB per formula unit.

DFT (GGA-PBE) results for crystalline GePt10 at its relaxed geometry.

a = 4.7818 Å, b = 4.7818 Å, c = 33.9933 Å
α = 90.42°, β = 90.42°, γ = 48.32°
Fractional positions:
Ge  0.1542  0.1542  0.2728
Ge  0.8458  0.8458  0.7272
Pt  0.0496  0.0496  0.0940
Pt  0.0521  0.0521  0.8257
Pt  0.1502  0.1502  0.0136
Pt  0.1515  0.1515  0.7418
Pt  0.2500  0.2500  0.2009
Pt  0.2502  0.2502  0.9330
Pt  0.3489  0.3489  0.1198
Pt  0.3522  0.3522  0.8519
Pt  0.4504  0.4504  0.0399
Pt  0.4529  0.4529  0.7682
Pt  0.5471  0.5471  0.2318
Pt  0.5496  0.5496  0.9601
Pt  0.6478  0.6478  0.1481
Pt  0.6511  0.6511  0.8802
Pt  0.7498  0.7498  0.0670
Pt  0.7500  0.7500  0.7991
Pt  0.8485  0.8485  0.2582
Pt  0.8498  0.8498  0.9864
Pt  0.9479  0.9479  0.1743
Pt  0.9504  0.9504  0.9060

Computed properties:
The electronic total energy comes out at -5.94 eV/atom. As for the magnetic moment: 0.01 μB per formula unit.

DFT (GGA-PBE) results for crystalline HoNiPd at its relaxed geometry.

a = 4.3503 Å, b = 4.3503 Å, c = 4.3503 Å
α = 60.00°, β = 60.00°, γ = 60.00°
Fractional positions:
Ho  0.0000  0.0000  0.0000
Ni  0.2500  0.2500  0.2500
Pd  0.5000  0.5000  0.5000

Computed properties:
As for the magnetic moment: 0.00 μB per formula unit. As for the formation energy: -1.27 eV/f.u.

DFT (GGA-PBE) results for crystalline PrGdAl2I2 at its relaxed geometry.

a = 4.3521 Å, b = 4.3521 Å, c = 12.3155 Å
α = 90.00°, β = 90.00°, γ = 120.00°
Fractional positions:
Pr  0.0000  0.0000  0.0000
Gd  0.0000  0.0000  0.3432
Al  0.3333  0.6667  0.1899
Al  0.6667  0.3333  0.1619
I  0.3333  0.6667  0.8319
I  0.6667  0.3333  0.5016

Computed properties:
The electronic total energy comes out at -4.26 eV/atom. As for the magnetic moment: 0.00 μB per formula unit.

DFT (GGA-PBE) results for crystalline LuFeSnAu at its relaxed geometry.

a = 4.8138 Å, b = 4.8138 Å, c = 4.8138 Å
α = 60.00°, β = 60.00°, γ = 60.00°
Fractional positions:
Lu  0.0000  0.0000  0.0000
Fe  0.5000  0.5000  0.5000
Sn  0.2500  0.2500  0.2500
Au  0.7500  0.7500  0.7500

Computed properties:
The energy above the most stable polymorph in this dataset is 26 meV per atom. As for the magnetic moment: 2.63 μB per formula unit.

DFT (GGA-PBE) results for crystalline Sr2ZnB at its relaxed geometry.

a = 5.0940 Å, b = 5.0940 Å, c = 5.0940 Å
α = 60.00°, β = 60.00°, γ = 60.00°
Fractional positions:
Sr  0.0000  0.0000  0.0000
Sr  0.2500  0.2500  0.2500
Zn  0.7500  0.7500  0.7500
B  0.5000  0.5000  0.5000

Computed properties:
The electronic total energy comes out at -2.03 eV/atom.